Computed, not measured: a geometry-optimized La2Pr5Y12 structure at the PBE-GGA level of DFT.

Properties
- ΔE_f: 106 meV per atom
- V: 651.19 Å³/cell

Geometry as CIF:
```
data_La2Pr5Y12
_chemical_formula_sum 'La2 Pr5 Y12'
_symmetry_space_group_name_H-M 'P -1'
_symmetry_Int_Tables_number 2
_cell_length_a 7.1810
_cell_length_b 7.1835
_cell_length_c 15.0329
_cell_angle_alpha 91.32
_cell_angle_beta 102.63
_cell_angle_gamma 119.44
loop_
_symmetry_equiv_pos_as_xyz
'x,y,z'
'-x,-y,-z'
loop_
_atom_site_label
_atom_site_type_symbol
_atom_site_fract_x
_atom_site_fract_y
_atom_site_fract_z
La1 La 0.2491 0.2492 0.9999
Pr1 Pr 0.0000 0.5000 0.5000
Pr2 Pr 0.2504 0.7500 0.0005
Pr3 Pr 0.4994 0.0969 0.5947
Y1 Y 0.0192 0.0685 0.6088
Y2 Y 0.0407 0.1515 0.1933
Y3 Y 0.0478 0.6554 0.2140
Y4 Y 0.4431 0.8354 0.7863
Y5 Y 0.4582 0.4085 0.3912
Y6 Y 0.4595 0.3440 0.8022
```